1.
Material: CsNaBiAu
Method: DFT, PBE-GGA
State: optimized geometry

Space group: F-43m (216)
Distance to the lowest polymorph of the same formula (eV per atom): 0.2036
E (eV for the cell shown): -9.09

Cell lengths 5.8257, 5.8257, 5.8257 Å; angles 60.00, 60.00, 60.00 degrees
Last column: nearest neighbours and their distance in Å.
Fractional coordinates of all 4 atoms:
1 Cs 0.0000 0.0000 0.0000  4 Bi 3.57, 4 Au 3.57
2 Na 0.5000 0.5000 0.5000  4 Bi 3.57, 4 Au 3.57
3 Bi 0.7500 0.7500 0.7500  4 Na 3.57, 4 Cs 3.57
4 Au 0.2500 0.2500 0.2500  4 Na 3.57, 4 Cs 3.57



2.
Material: CsNaBiAu
Method: DFT, PBE-GGA
State: optimized geometry

Space group: F-43m (216)
Distance to the lowest polymorph of the same formula (eV per atom): 0.0000
E (eV for the cell shown): -9.91

Cell lengths 5.5890, 5.5890, 5.5890 Å; angles 60.00, 60.00, 60.00 degrees
Last column: nearest neighbours and their distance in Å.
Fractional coordinates of all 4 atoms:
1 Cs 0.0000 0.0000 0.0000  4 Na 3.42, 4 Au 3.42
2 Na 0.7500 0.7500 0.7500  4 Bi 3.42, 4 Cs 3.42
3 Bi 0.5000 0.5000 0.5000  4 Na 3.42, 4 Au 3.42
4 Au 0.2500 0.2500 0.2500  4 Bi 3.42, 4 Cs 3.42



3.
Material: CsNaBiAu
Method: DFT, PBE-GGA
State: optimized geometry

Space group: F-43m (216)
Distance to the lowest polymorph of the same formula (eV per atom): 0.0657
E (eV for the cell shown): -9.65

Cell lengths 5.6023, 5.6023, 5.6023 Å; angles 60.00, 60.00, 60.00 degrees
Last column: nearest neighbours and their distance in Å.
Fractional coordinates of all 4 atoms:
1 Cs 0.0000 0.0000 0.0000  4 Bi 3.43, 4 Na 3.43
2 Na 0.7500 0.7500 0.7500  4 Cs 3.43, 4 Au 3.43
3 Bi 0.2500 0.2500 0.2500  4 Au 3.43, 4 Cs 3.43
4 Au 0.5000 0.5000 0.5000  4 Na 3.43, 4 Bi 3.43